DFT (PBE) results for crystalline ScSn2Ir at its relaxed geometry.

Output
ΔH_f (0 K): -0.26 eV/atom
M_tot: 0.000 μB per cell
Energy: -6.0588 eV/atom
ρ: 10.0 g cm⁻³

a = 4.817 Å, b = 4.817 Å, c = 4.817 Å
α = 60.00°, β = 60.00°, γ = 60.00°
Element x y z (fractional)
1 Sc 0.000 0.000 0.000
2 Ir 0.500 0.500 0.500
3 Sn 0.250 0.250 0.250
4 Sn 0.750 0.750 0.750